The following is a DFT calculation (PBE) of an optimized crystal structure of CdTeAs3.

* formation energy from raw total energies: 0.923 eV/atom
* calculated total energy: -13.4 eV per formula unit
* energy above the lowest structure with this stoichiometry: 0.000 eV/atom

a b c (Å): 5.1458 5.1458 5.1458
angles (deg): 90.00 90.00 90.00
Closest atoms and distances in Å follow each position.
Fractional positions:
1 As 0.0000 0.0000 0.5000  2 Cd 2.57
2 Te 0.5000 0.5000 0.5000  12 As 3.64
3 As 0.5000 0.0000 0.0000  2 Cd 2.57
4 As 0.0000 0.5000 0.0000  2 Cd 2.57
5 Cd 0.0000 0.0000 0.0000  6 As 2.57


The following is a DFT calculation (PBE) of an optimized crystal structure of CaIr6.

* calculated total energy: -52.4 eV per formula unit
* ΔE_f: 0.40 eV/atom

a b c (Å): 5.9254 5.9254 5.9254
angles (deg): 109.47 109.47 109.47
Closest atoms and distances in Å follow each position.
Fractional positions:
1 Ir 0.7500 0.2500 0.5000  4 Ir 2.42
2 Ir 0.5000 0.2500 0.7500  4 Ir 2.42
3 Ir 0.7500 0.5000 0.2500  4 Ir 2.42
4 Ir 0.2500 0.7500 0.5000  4 Ir 2.42
5 Ca 0.0000 0.0000 0.0000  24 Ir 3.82
6 Ir 0.2500 0.5000 0.7500  4 Ir 2.42
7 Ir 0.5000 0.7500 0.2500  4 Ir 2.42